Record 1
Computed, not measured: crystalline CuHI2O at its relaxed geometry at the GGA-PBE level of DFT.

Properties
- excess energy over the best structure of this formula in the dataset (meV per atom) = 13

Cell: 5.6814 5.6814 2.8286 Å, 90.00 90.00 90.00°
With the nearest neighbours (Å) after each atom.
Fractional positions:
Cu 0.0000 0.0000 0.0000  2 Cu 2.83
H 0.5000 0.5000 0.5000  2 O 1.41
I 0.0000 0.5000 0.5000  2 I 2.83, 2 H 2.84
I 0.5000 0.0000 0.5000  2 I 2.83, 2 H 2.84
O 0.5000 0.5000 0.0000  2 H 1.41

=====

Record 2
Computed, not measured: crystalline CuH16I2O16 at its relaxed geometry at the GGA-PBE level of DFT.

Properties
- total energy (eV/atom) = -4.764

Cell: 10.9583 5.6366 11.1044 Å, 90.00 109.11 90.00°
With the nearest neighbours (Å) after each atom.
Fractional positions:
Cu 0.0000 0.0000 0.0000  4 O 1.97-1.98
Cu 0.0000 0.5000 0.5000  4 O 1.97-1.98
H 0.0708 0.0945 0.7896  1 O 1.00
H 0.0708 0.4055 0.2896  1 O 1.00
H 0.0799 0.6076 0.7341  1 O 1.00
H 0.0799 0.8924 0.2341  1 O 1.00
H 0.1320 0.5365 0.1178  1 O 0.98
H 0.1320 0.9635 0.6178  1 O 0.98
H 0.1919 0.7363 0.4724  1 O 1.02
H 0.1919 0.7637 0.9724  1 O 1.02
H 0.2124 0.1886 0.6769  1 O 0.99
H 0.2124 0.3114 0.1769  1 O 0.99
H 0.2417 0.5759 0.6027  1 O 1.01
H 0.2417 0.9241 0.1027  1 O 1.01
H 0.3738 0.0746 0.8961  1 O 1.01
H 0.3738 0.4254 0.3961  1 O 1.01
H 0.4835 0.1689 0.1722  1 O 1.01
H 0.4835 0.3311 0.6722  1 O 1.01
H 0.5165 0.6689 0.3278  1 O 1.01
H 0.5165 0.8311 0.8278  1 O 1.01
H 0.6262 0.5746 0.6039  1 O 1.01
H 0.6262 0.9254 0.1039  1 O 1.01
H 0.7583 0.0759 0.8973  1 O 1.01
H 0.7583 0.4241 0.3973  1 O 1.01
H 0.7876 0.6886 0.8231  1 O 0.99
H 0.7876 0.8114 0.3231  1 O 0.99
H 0.8081 0.2363 0.0276  1 O 1.02
H 0.8081 0.2637 0.5276  1 O 1.02
H 0.8680 0.0365 0.3822  1 O 0.98
H 0.8680 0.4635 0.8822  1 O 0.98
H 0.9201 0.1076 0.7659  1 O 1.00
H 0.9201 0.3924 0.2659  1 O 1.00
H 0.9292 0.5945 0.7104  1 O 1.00
H 0.9292 0.9055 0.2104  1 O 1.00
I 0.3779 0.5090 0.8782  6 O 1.82-2.01
I 0.3779 0.9910 0.3782  6 O 1.82-2.01
I 0.6221 0.0090 0.6218  6 O 1.82-2.01
I 0.6221 0.4910 0.1218  6 O 1.82-2.01
O 0.0059 0.1189 0.8343  2 H 1.00
O 0.0059 0.3811 0.3343  2 H 1.00
O 0.1248 0.1207 0.6536  2 H 0.98-0.99
O 0.1248 0.3793 0.1536  2 H 0.98-0.99
O 0.1665 0.6688 0.5459  2 H 1.01-1.02
O 0.1665 0.8312 0.0459  2 H 1.01-1.02
O 0.2195 0.6317 0.8602  2 H 1.56-1.71
O 0.2195 0.8683 0.3602  2 H 1.56-1.71
O 0.3285 0.2048 0.9270  1 H 1.01
O 0.3285 0.2952 0.4270  1 H 1.01
O 0.3533 0.0935 0.2142  2 H 1.69-1.72, 1 I 1.84
O 0.3533 0.4065 0.7142  2 H 1.69-1.72, 1 I 1.84
O 0.4305 0.6744 0.3433  1 H 1.01
O 0.4305 0.8256 0.8433  1 H 1.01
O 0.4374 0.5931 0.0648  2 I 2.00-2.01
O 0.4374 0.9069 0.5648  2 I 2.00-2.01
O 0.5626 0.0931 0.4352  2 I 2.00-2.01
O 0.5626 0.4069 0.9352  2 I 2.00-2.01
O 0.5695 0.1744 0.1567  1 H 1.01
O 0.5695 0.3256 0.6567  1 H 1.01
O 0.6467 0.5935 0.2858  2 H 1.69-1.72, 1 I 1.84
O 0.6467 0.9065 0.7858  2 H 1.69-1.72, 1 I 1.84
O 0.6715 0.7048 0.5730  1 H 1.01
O 0.6715 0.7952 0.0730  1 H 1.01
O 0.7805 0.1317 0.6398  2 H 1.56-1.71
O 0.7805 0.3683 0.1398  2 H 1.56-1.71
O 0.8335 0.1688 0.9541  2 H 1.01-1.02
O 0.8335 0.3312 0.4541  2 H 1.01-1.02
O 0.8752 0.6207 0.8464  2 H 0.98-0.99
O 0.8752 0.8793 0.3464  2 H 0.98-0.99
O 0.9941 0.6189 0.6657  2 H 1.00
O 0.9941 0.8811 0.1657  2 H 1.00

=====

Record 3
Computed, not measured: crystalline CuHI2O at its relaxed geometry at the GGA-PBE level of DFT.

Properties
- excess energy over the best structure of this formula in the dataset (meV per atom) = 0

Cell: 6.2954 6.2954 3.3796 Å, 90.00 90.00 90.00°
With the nearest neighbours (Å) after each atom.
Fractional positions:
Cu 0.0000 0.0000 0.0000  2 O 1.69
H 0.5000 0.5000 0.5000  2 H 3.38, 8 I 3.57
I 0.0000 0.5000 0.0000  2 Cu 3.15, 2 I 3.38
I 0.5000 0.0000 0.0000  2 Cu 3.15, 2 I 3.38
O 0.0000 0.0000 0.5000  2 Cu 1.69

=====

Record 4
Computed, not measured: crystalline CuHOs2I at its relaxed geometry at the GGA-PBE level of DFT.

Properties
- total energy (eV/atom) = -4.758

Cell: 4.8131 4.8131 3.1583 Å, 90.00 90.00 90.00°
With the nearest neighbours (Å) after each atom.
Fractional positions:
Cu 0.0000 0.0000 0.0000  2 H 1.58
H 0.0000 0.0000 0.5000  2 Cu 1.58
Os 0.0000 0.5000 0.0000  2 Cu 2.41
Os 0.5000 0.0000 0.0000  2 Cu 2.41
I 0.5000 0.5000 0.5000  8 Os 2.88, 2 I 3.16

=====

Record 5
Computed, not measured: crystalline Cu2HPdI at its relaxed geometry at the GGA-PBE level of DFT.

Properties
- total energy (eV/atom) = -2.664

Cell: 4.8800 4.8800 5.1768 Å, 90.00 90.00 90.00°
With the nearest neighbours (Å) after each atom.
Fractional positions:
Cu 0.0000 0.5000 0.0000  2 Pd 2.44
Cu 0.5000 0.0000 0.0000  2 Pd 2.44
H 0.0000 0.0000 0.5000  4 I 3.45, 8 Cu 3.56
Pd 0.5000 0.5000 0.0000  4 Cu 2.44, 2 I 2.59
I 0.5000 0.5000 0.5000  2 Pd 2.59

=====

Record 6
Computed, not measured: crystalline Rb2CuHI6 at its relaxed geometry at the GGA-PBE level of DFT.

Properties
- total energy (eV/atom) = -2.269

Cell: 8.2326 8.2326 8.2326 Å, 124.93 124.93 81.66°
With the nearest neighbours (Å) after each atom.
Fractional positions:
Rb 0.2500 0.7500 0.5000  12 I 3.84-4.12
Rb 0.7500 0.2500 0.5000  12 I 3.84-4.12
Cu 0.0000 0.0000 0.0000  6 I 2.61-2.87
H 0.5000 0.5000 0.0000  4 I 2.52
I 0.2098 0.2098 0.0000  1 Cu 2.61
I 0.2663 0.2663 0.5326  1 H 2.52
I 0.2663 0.7337 0.0000  1 H 2.52
I 0.7337 0.2663 0.0000  1 H 2.52
I 0.7337 0.7337 0.4674  1 H 2.52
I 0.7902 0.7902 0.0000  1 Cu 2.61

=====

Record 7
Computed, not measured: crystalline CuReHI2 at its relaxed geometry at the GGA-PBE level of DFT.

Properties
- total energy (eV/atom) = -3.367

Cell: 5.0746 5.0746 3.3300 Å, 90.00 90.00 90.00°
With the nearest neighbours (Å) after each atom.
Fractional positions:
Cu 0.0000 0.0000 0.0000  2 H 1.66
Re 0.5000 0.5000 0.0000  8 I 3.03, 2 Re 3.33
H 0.0000 0.0000 0.5000  2 Cu 1.66
I 0.0000 0.5000 0.5000  2 H 2.54
I 0.5000 0.0000 0.5000  2 H 2.54

=====

Record 8
Computed, not measured: crystalline CuHRuI2 at its relaxed geometry at the GGA-PBE level of DFT.

Properties
- total energy (eV/atom) = -3.430

Cell: 5.3309 5.3309 3.5016 Å, 90.00 90.00 90.00°
With the nearest neighbours (Å) after each atom.
Fractional positions:
Cu 0.0000 0.0000 0.0000  8 I 3.19, 2 Cu 3.50
H 0.5000 0.5000 0.0000  2 Ru 1.75
Ru 0.5000 0.5000 0.5000  2 H 1.75
I 0.0000 0.5000 0.5000  2 Ru 2.67
I 0.5000 0.0000 0.5000  2 Ru 2.67

=====

Record 9
Computed, not measured: crystalline CuSbHI2 at its relaxed geometry at the GGA-PBE level of DFT.

Properties
- excess energy over the best structure of this formula in the dataset (meV per atom) = 115

Cell: 5.6698 5.6698 4.9122 Å, 90.00 90.00 90.00°
With the nearest neighbours (Å) after each atom.
Fractional positions:
Cu 0.0000 0.0000 0.0000  2 Sb 2.46
Sb 0.0000 0.0000 0.5000  2 Cu 2.46
H 0.5000 0.5000 0.5000  8 I 3.75, 4 Sb 4.01
I 0.0000 0.5000 0.0000  2 Cu 2.83
I 0.5000 0.0000 0.0000  2 Cu 2.83

=====

Record 10
Computed, not measured: crystalline CuSb2HI at its relaxed geometry at the GGA-PBE level of DFT.

Properties
- excess energy over the best structure of this formula in the dataset (meV per atom) = 0

Cell: 4.2080 4.2080 8.2023 Å, 90.00 90.00 90.00°
With the nearest neighbours (Å) after each atom.
Fractional positions:
Cu 0.0000 0.0000 0.0000  4 I 2.98
Sb 0.0000 0.5000 0.5000  2 H 2.10
Sb 0.5000 0.0000 0.5000  2 H 2.10
H 0.5000 0.5000 0.5000  4 Sb 2.10
I 0.5000 0.5000 0.0000  4 Cu 2.98

=====

Record 11
Computed, not measured: crystalline CuSb2HI at its relaxed geometry at the GGA-PBE level of DFT.

Properties
- excess energy over the best structure of this formula in the dataset (meV per atom) = 241

Cell: 5.0508 5.0508 5.8103 Å, 90.00 90.00 90.00°
With the nearest neighbours (Å) after each atom.
Fractional positions:
Cu 0.0000 0.0000 0.0000  4 Sb 2.53
Sb 0.0000 0.5000 0.0000  2 Cu 2.53
Sb 0.5000 0.0000 0.0000  2 Cu 2.53
H 0.5000 0.5000 0.5000  4 I 3.57, 8 Sb 3.85
I 0.0000 0.0000 0.5000  2 Cu 2.91

=====

Record 12
Computed, not measured: crystalline CuSbHI2 at its relaxed geometry at the GGA-PBE level of DFT.

Properties
- excess energy over the best structure of this formula in the dataset (meV per atom) = 0

Cell: 5.5839 5.5839 3.8644 Å, 90.00 90.00 90.00°
With the nearest neighbours (Å) after each atom.
Fractional positions:
Cu 0.0000 0.0000 0.0000  8 I 3.40
Sb 0.5000 0.5000 0.0000  2 H 1.93
H 0.5000 0.5000 0.5000  2 Sb 1.93
I 0.0000 0.5000 0.5000  2 H 2.79
I 0.5000 0.0000 0.5000  2 H 2.79